<w>
## NiHgPd4 (PBE)

Data for an optimized crystal structure of NiHgPd4.

Summary:
symmetry = C2/m, No. 12

Lattice parameters (Å, degrees): 6.486 6.486 6.575 108.03 108.03 51.88
Positions (direct):
Ni: 0.064 0.064 0.244
Ni: 0.936 0.936 0.756
Hg: 0.227 0.227 0.677
Hg: 0.773 0.773 0.323
Pd: 0.140 0.629 0.037
Pd: 0.260 0.740 0.500
Pd: 0.287 0.287 0.303
Pd: 0.371 0.860 0.963
Pd: 0.629 0.140 0.037
Pd: 0.713 0.713 0.697
Pd: 0.740 0.260 0.500
Pd: 0.860 0.371 0.963

<x>
## NiHgPd4 (PBE)

Data for an optimized crystal structure of NiHgPd4.

Summary:
symmetry = C2/m, No. 12

Lattice parameters (Å, degrees): 4.869 4.869 4.846 99.44 99.44 119.96
Positions (direct):
Ni: 0.000 0.000 0.000
Hg: 0.500 0.500 0.500
Pd: 0.163 0.837 0.500
Pd: 0.329 0.671 0.000
Pd: 0.671 0.329 0.000
Pd: 0.837 0.163 0.500

Stability, lowest: <w>

<w>
## Pm2NiHg (PBE)

Data for an optimized crystal structure of Pm2NiHg.

Summary:
symmetry = R3m, No. 160

Lattice parameters (Å, degrees): 8.000 8.000 8.000 29.44 29.44 29.44
Positions (direct):
Pm: 0.000 0.000 0.000
Pm: 0.201 0.201 0.201
Ni: 0.602 0.602 0.602
Hg: 0.767 0.767 0.767

<x>
## Pm2NiHg (PBE)

Data for an optimized crystal structure of Pm2NiHg.

Summary:
symmetry = R-3m, No. 166

Lattice parameters (Å, degrees): 10.539 10.539 10.539 18.75 18.75 18.75
Positions (direct):
Pm: 0.082 0.082 0.082
Pm: 0.918 0.918 0.918
Ni: 0.000 0.000 0.000
Hg: 0.500 0.500 0.500

Stability, lowest: <x>

<w>
## Pm2NiHg (PBE)

Data for an optimized crystal structure of Pm2NiHg.

Summary:
symmetry = Fm-3m, No. 225

Lattice parameters (Å, degrees): 5.183 5.183 5.183 60.00 60.00 60.00
Positions (direct):
Pm: 0.250 0.250 0.250
Pm: 0.750 0.750 0.750
Ni: 0.000 0.000 0.000
Hg: 0.500 0.500 0.500

<x>
## Pm2NiHg (PBE)

Data for an optimized crystal structure of Pm2NiHg.

Summary:
symmetry = P4/mmm, No. 123

Lattice parameters (Å, degrees): 3.560 3.560 7.661 90.00 90.00 90.00
Positions (direct):
Pm: 0.000 0.000 0.218
Pm: 0.000 0.000 0.782
Ni: 0.500 0.500 0.000
Hg: 0.500 0.500 0.500

Stability, lowest: <w>

<w>
## Pm3NiHg (PBE)

Data for an optimized crystal structure of Pm3NiHg.

Summary:
symmetry = P-1, No. 2

Lattice parameters (Å, degrees): 5.711 6.636 8.430 99.28 103.18 114.40
Positions (direct):
Pm: 0.045 0.182 0.320
Pm: 0.294 0.826 0.114
Pm: 0.337 0.472 0.770
Pm: 0.663 0.528 0.230
Pm: 0.706 0.174 0.886
Pm: 0.955 0.818 0.680
Ni: 0.206 0.174 0.990
Ni: 0.794 0.826 0.010
Hg: 0.350 0.742 0.479
Hg: 0.650 0.258 0.521

<x>
## Pm3NiHg (PBE)

Data for an optimized crystal structure of Pm3NiHg.

Summary:
symmetry = Pm-3m, No. 221

Lattice parameters (Å, degrees): 5.327 5.327 5.327 90.00 90.00 90.00
Positions (direct):
Pm: 0.000 0.000 0.500
Pm: 0.000 0.500 0.000
Pm: 0.500 0.000 0.000
Ni: 0.000 0.000 0.000
Hg: 0.500 0.500 0.500

<y>
## Pm3NiHg (PBE)

Data for an optimized crystal structure of Pm3NiHg.

Summary:
symmetry = P2_1/c, No. 14

Lattice parameters (Å, degrees): 10.154 6.870 8.702 90.00 113.18 90.00
Positions (direct):
Pm: 0.088 0.068 0.219
Pm: 0.088 0.432 0.719
Pm: 0.347 0.164 0.624
Pm: 0.347 0.336 0.124
Pm: 0.349 0.675 0.482
Pm: 0.349 0.825 0.982
Pm: 0.651 0.175 0.018
Pm: 0.651 0.325 0.518
Pm: 0.653 0.664 0.876
Pm: 0.653 0.836 0.376
Pm: 0.912 0.568 0.281
Pm: 0.912 0.932 0.781
Ni: 0.407 0.036 0.345
Ni: 0.407 0.464 0.845
Ni: 0.593 0.536 0.155
Ni: 0.593 0.964 0.655
Hg: 0.108 0.650 0.089
Hg: 0.108 0.850 0.589
Hg: 0.892 0.150 0.411
Hg: 0.892 0.350 0.911

Stability, lowest: <x>